Entry 1:
Here is crystalline CeZnCoRh at its relaxed geometry from the Alexandria database. Energies are from PBE.

Values from the calculation:
calculated formation energy	-335	meV per atom

abc: 6.4161 6.4161 6.4161
angles: 90.00 90.00 90.00
Space group F-43m (No. 216)
One atom of each set of equivalent atoms:
Ce 0.0000 0.0000 0.0000 x4
Zn 0.0000 0.0000 0.5000 x4
Co 0.2500 0.2500 0.2500 x4
Rh 0.2500 0.2500 0.7500 x4

Entry 2:
Here is crystalline TmZr4N5 at its relaxed geometry from the Alexandria database. Energies are from PBE.

Values from the calculation:
formation energy (no corrections)	-17.21	eV per formula unit

abc: 7.3435 7.3435 4.6515
angles: 90.00 90.00 90.00
Space group I4/m (No. 87)
One atom of each set of equivalent atoms:
Tm 0.0000 0.0000 0.0000 x2
Zr 0.1009 0.6999 0.5000 x8
N 0.0000 0.0000 0.5000 x2
N 0.0992 0.6969 0.0000 x8

Entry 3:
Here is crystalline PrHo3Se6 at its relaxed geometry from the Alexandria database. Energies are from PBE.

Values from the calculation:
formation energy (no corrections)	-18.89	eV per formula unit

abc: 11.6053 4.1404 11.8968
angles: 90.00 109.12 90.00
Space group P2_1/m (No. 11)
One atom of each set of equivalent atoms:
Pr 0.0480 0.2500 0.1959 x2
Ho 0.1592 0.2500 0.5862 x2
Ho 0.3194 0.7500 0.9997 x2
Ho 0.4396 0.2500 0.3336 x2
Se 0.0836 0.7500 0.4062 x2
Se 0.1182 0.2500 0.9655 x2
Se 0.1974 0.7500 0.7501 x2
Se 0.2629 0.7500 0.2271 x2
Se 0.3931 0.2500 0.5586 x2
Se 0.4803 0.2500 0.1139 x2

Entry 4:
Here is crystalline CePrNiRh at its relaxed geometry from the Alexandria database. Energies are from PBE.

Values from the calculation:
calculated formation energy	-404	meV per atom

abc: 7.0159 7.0159 7.0159
angles: 90.00 90.00 90.00
Space group F-43m (No. 216)
One atom of each set of equivalent atoms:
Ce 0.0000 0.0000 0.0000 x4
Pr 0.0000 0.0000 0.5000 x4
Ni 0.2500 0.2500 0.2500 x4
Rh 0.2500 0.2500 0.7500 x4

Entry 5:
Here is crystalline UPaMn2Se8 at its relaxed geometry from the Alexandria database. Energies are from PBE.

Values from the calculation:
formation energy (no corrections)	-8.98	eV per formula unit

abc: 6.6938 6.6938 13.2309
angles: 90.00 90.00 90.00
Space group I-4 (No. 82)
One atom of each set of equivalent atoms:
U 0.0000 0.0000 0.0000 x2
Pa 0.0000 0.5000 0.7500 x2
Mn 0.0000 0.0000 0.5000 x2
Mn 0.0000 0.5000 0.2500 x2
Se 0.1804 0.7730 0.1636 x8
Se 0.1839 0.2738 0.5845 x8

Entry 6:
Here is crystalline Sc3TlZn at its relaxed geometry from the Alexandria database. Energies are from PBE.

Values from the calculation:
calculated formation energy	119	meV per atom

abc: 5.0423 5.0423 5.0423
angles: 90.00 90.00 90.00
Space group Pm-3m (No. 221)
One atom of each set of equivalent atoms:
Sc 0.0000 0.0000 0.5000 x3
Tl 0.5000 0.5000 0.5000 x1
Zn 0.0000 0.0000 0.0000 x1

Entry 7:
Here is crystalline TaNiIr2 at its relaxed geometry from the Alexandria database. Energies are from PBE.

Values from the calculation:
calculated formation energy	-316	meV per atom

abc: 8.9395 2.7876 4.7469
angles: 90.00 100.02 90.00
Space group C2/m (No. 12)
One atom of each set of equivalent atoms:
Ta 0.0000 0.0000 0.0000 x2
Ni 0.0000 0.5000 0.5000 x2
Ir 0.2488 0.0000 0.7363 x4

Entry 8:
Here is crystalline NbRuNO2 at its relaxed geometry from the Alexandria database. Energies are from PBE.

Values from the calculation:
formation energy (no corrections)	0.20	eV per formula unit

abc: 3.8631 3.8631 3.8369
angles: 90.00 90.00 90.00
Space group P4/mmm (No. 123)
One atom of each set of equivalent atoms:
Nb 0.0000 0.0000 0.0000 x1
Ru 0.5000 0.5000 0.5000 x1
N 0.5000 0.5000 0.0000 x1
O 0.0000 0.5000 0.5000 x2

Entry 9:
Here is crystalline PuPa2Ru at its relaxed geometry from the Alexandria database. Energies are from PBE.

Values from the calculation:
calculated formation energy	-160	meV per atom

abc: 5.0658 5.0658 3.2543
angles: 90.00 90.00 90.00
Space group P4/mmm (No. 123)
One atom of each set of equivalent atoms:
Pu 0.0000 0.0000 0.0000 x1
Pa 0.0000 0.5000 0.5000 x2
Ru 0.5000 0.5000 0.0000 x1

Entry 10:
Here is crystalline Tb3B7Ru at its relaxed geometry from the Alexandria database. Energies are from PBE.

Values from the calculation:
calculated formation energy	-614	meV per atom

abc: 3.5327 15.8219 9.3645
angles: 90.00 90.00 90.00
Space group Cmcm (No. 63)
One atom of each set of equivalent atoms:
Tb 0.0000 0.1055 0.0606 x8
Tb 0.0000 0.2442 0.7500 x4
B 0.0000 0.2729 0.0340 x8
B 0.0000 0.3684 0.1513 x8
B 0.0000 0.4589 0.7500 x4
B 0.0000 0.4786 0.0968 x8
Ru 0.0000 0.0547 0.7500 x4

Entry 11:
Here is crystalline CaCeY2As4 at its relaxed geometry from the Alexandria database. Energies are from PBE.

Values from the calculation:
calculated formation energy	-1412	meV per atom

abc: 7.1928 4.1832 7.2302
angles: 90.00 109.06 90.00
Space group P2/m (No. 10)
One atom of each set of equivalent atoms:
Ca 0.0000 0.0000 0.0000 x1
Ce 0.5000 0.5000 0.0000 x1
Y 0.0000 0.5000 0.5000 x1
Y 0.5000 0.0000 0.5000 x1
As 0.2528 0.0000 0.7473 x2
As 0.2584 0.5000 0.2544 x2

Entry 12:
Here is crystalline BaPdWI2 at its relaxed geometry from the Alexandria database. Energies are from PBE.

Values from the calculation:
formation energy (no corrections)	4.05	eV per formula unit

abc: 5.5296 5.5296 5.9008
angles: 90.00 90.00 90.00
Space group P4/mmm (No. 123)
One atom of each set of equivalent atoms:
Ba 0.0000 0.0000 0.0000 x1
Pd 0.0000 0.0000 0.5000 x1
W 0.5000 0.5000 0.0000 x1
I 0.0000 0.5000 0.5000 x2